(1)
# LaAsC3

LaAsC3 after structural relaxation (PBE-GGA, the Alexandria database).

energy of formation	1.430	eV per atom
E_tot	-6.02	eV/atom
energy relative to the lowest polymorph listed for this composition	0	meV per atom

a = 4.039 Å, b = 4.039 Å, c = 4.039 Å
α = 90.00°, β = 90.00°, γ = 90.00°
Space group Pm-3m (No. 221)
Symmetry-distinct sites (fractional):
La 0.000 0.000 0.000 (multiplicity 1)
As 0.500 0.500 0.500 (multiplicity 1)
C 0.000 0.500 0.500 (multiplicity 3)

=====

(2)
# In2GaCuBr

In2GaCuBr after structural relaxation (PBE-GGA, the Alexandria database).

E_tot	-2.99	eV/atom
formation energy (no corrections)	-140	meV/atom

a = 5.240 Å, b = 5.240 Å, c = 4.738 Å
α = 90.00°, β = 90.00°, γ = 90.00°
Space group P4/mmm (No. 123)
Symmetry-distinct sites (fractional):
In 0.000 0.500 0.000 (multiplicity 2)
Ga 0.000 0.000 0.500 (multiplicity 1)
Cu 0.000 0.000 0.000 (multiplicity 1)
Br 0.500 0.500 0.500 (multiplicity 1)

=====

(3)
# LaNbN2

LaNbN2 after structural relaxation (PBE-GGA, the Alexandria database).

E_tot	-9.18	eV/atom
formation energy (no corrections)	-1265	meV/atom

a = 5.920 Å, b = 3.457 Å, c = 11.172 Å
α = 90.00°, β = 90.00°, γ = 90.00°
Space group Pnma (No. 62)
Symmetry-distinct sites (fractional):
La 0.079 0.250 0.138 (multiplicity 4)
Nb 0.078 0.750 0.392 (multiplicity 4)
N 0.165 0.250 0.752 (multiplicity 4)
N 0.217 0.250 0.484 (multiplicity 4)

=====

(4)
# Y5ScSe6

Y5ScSe6 after structural relaxation (PBE-GGA, the Alexandria database).

E_tot	-6.69	eV/atom
formation energy (no corrections)	-1732	meV/atom

a = 7.022 Å, b = 12.180 Å, c = 7.016 Å
α = 90.00°, β = 109.57°, γ = 90.00°
Space group C2/m (No. 12)
Symmetry-distinct sites (fractional):
Y 0.000 0.000 0.000 (multiplicity 2)
Y 0.000 0.167 0.500 (multiplicity 4)
Y 0.000 0.328 0.000 (multiplicity 4)
Sc 0.000 0.500 0.500 (multiplicity 2)
Se 0.241 0.500 0.252 (multiplicity 4)
Se 0.242 0.338 0.743 (multiplicity 8)

=====

(5)
# SrZnGa2Au2

SrZnGa2Au2 after structural relaxation (PBE-GGA, the Alexandria database).

energy of formation	-0.454	eV per atom
E_tot	-3.05	eV/atom

a = 4.4813 Å, b = 4.4813 Å, c = 7.3445 Å
α = 90.00°, β = 90.00°, γ = 120.00°
Space group P-3m1 (No. 164)
Symmetry-distinct sites (fractional):
Sr 0.0000 0.0000 0.0000 (multiplicity 1)
Zn 0.0000 0.0000 0.5000 (multiplicity 1)
Ga 0.3333 0.6667 0.7046 (multiplicity 2)
Au 0.3333 0.6667 0.3157 (multiplicity 2)

=====

(6)
# Mg2BeNi5B2

Mg2BeNi5B2 after structural relaxation (PBE-GGA, the Alexandria database).

energy of formation	-0.326	eV per atom
E_tot	-5.24	eV/atom

a = 8.585 Å, b = 8.585 Å, c = 2.844 Å
α = 90.00°, β = 90.00°, γ = 90.00°
Space group P4/mbm (No. 127)
Symmetry-distinct sites (fractional):
Mg 0.176 0.324 0.000 (multiplicity 4)
Be 0.000 0.000 0.000 (multiplicity 2)
Ni 0.000 0.500 0.500 (multiplicity 2)
Ni 0.068 0.788 0.500 (multiplicity 8)
B 0.124 0.624 0.000 (multiplicity 4)

=====

(7)
# TaAlAu2

TaAlAu2 after structural relaxation (PBE-GGA, the Alexandria database).

energy of formation	-0.065	eV per atom
E_tot	-5.60	eV/atom

a = 4.098 Å, b = 4.098 Å, c = 4.119 Å
α = 90.00°, β = 90.00°, γ = 90.00°
Space group P4/mmm (No. 123)
Symmetry-distinct sites (fractional):
Ta 0.000 0.000 0.000 (multiplicity 1)
Al 0.500 0.500 0.000 (multiplicity 1)
Au 0.000 0.500 0.500 (multiplicity 2)

=====

(8)
# NdHfMg

NdHfMg after structural relaxation (PBE-GGA, the Alexandria database).

energy of formation	0.102	eV per atom
E_tot	-5.34	eV/atom
energy relative to the lowest polymorph listed for this composition	0	meV per atom

a = 3.370 Å, b = 3.370 Å, c = 13.906 Å
α = 90.00°, β = 90.00°, γ = 90.00°
Space group I4mm (No. 107)
Symmetry-distinct sites (fractional):
Nd 0.000 0.000 0.000 (multiplicity 2)
Hf 0.000 0.000 0.668 (multiplicity 2)
Mg 0.000 0.000 0.315 (multiplicity 2)

=====

(9)
# Fe4CuSe

Fe4CuSe after structural relaxation (PBE-GGA, the Alexandria database).

E_tot	-6.51	eV/atom
formation energy (no corrections)	399	meV/atom

a = 6.842 Å, b = 6.842 Å, c = 6.842 Å
α = 90.00°, β = 90.00°, γ = 90.00°
Space group F-43m (No. 216)
Symmetry-distinct sites (fractional):
Fe 0.124 0.124 0.124 (multiplicity 16)
Cu 0.250 0.250 0.750 (multiplicity 4)
Se 0.000 0.000 0.500 (multiplicity 4)

=====

(10)
# Tb4HgGe2

Tb4HgGe2 after structural relaxation (PBE-GGA, the Alexandria database).

energy of formation	-0.648	eV per atom
E_tot	-4.66	eV/atom

a = 12.052 Å, b = 13.398 Å, c = 9.019 Å
α = 90.00°, β = 90.00°, γ = 90.00°
Space group Fdd2 (No. 43)
Symmetry-distinct sites (fractional):
Tb 0.051 0.380 0.000 (multiplicity 16)
Tb 0.122 0.307 0.381 (multiplicity 16)
Hg 0.000 0.000 0.812 (multiplicity 8)
Ge 0.057 0.305 0.691 (multiplicity 16)

=====

(11)
# LiErThMo

LiErThMo after structural relaxation (PBE-GGA, the Alexandria database).

energy of formation	0.127	eV per atom
E_tot	-6.06	eV/atom

a = 7.105 Å, b = 7.105 Å, c = 7.105 Å
α = 90.00°, β = 90.00°, γ = 90.00°
Space group F-43m (No. 216)
Symmetry-distinct sites (fractional):
Li 0.000 0.000 0.000 (multiplicity 4)
Er 0.250 0.250 0.750 (multiplicity 4)
Th 0.250 0.250 0.250 (multiplicity 4)
Mo 0.000 0.000 0.500 (multiplicity 4)

=====

(12)
# RbNdCd10

RbNdCd10 after structural relaxation (PBE-GGA, the Alexandria database).

energy of formation	-0.102	eV per atom
E_tot	-1.34	eV/atom

a = 4.854 Å, b = 6.146 Å, c = 10.528 Å
α = 90.00°, β = 90.00°, γ = 90.00°
Space group Pmmm (No. 47)
Symmetry-distinct sites (fractional):
Rb 0.000 0.000 0.000 (multiplicity 1)
Nd 0.000 0.500 0.500 (multiplicity 1)
Cd 0.000 0.000 0.337 (multiplicity 2)
Cd 0.000 0.500 0.172 (multiplicity 2)
Cd 0.500 0.000 0.500 (multiplicity 1)
Cd 0.500 0.265 0.273 (multiplicity 4)
Cd 0.500 0.500 0.000 (multiplicity 1)

=====

(13)
# Ba2Sr5Ca2

Ba2Sr5Ca2 after structural relaxation (PBE-GGA, the Alexandria database).

energy of formation	0.054	eV per atom
E_tot	-1.75	eV/atom
energy relative to the lowest polymorph listed for this composition	0	meV per atom

a = 19.778 Å, b = 4.134 Å, c = 12.258 Å
α = 90.00°, β = 102.06°, γ = 90.00°
Space group C2/m (No. 12)
Symmetry-distinct sites (fractional):
Ba 0.003 0.000 0.186 (multiplicity 4)
Sr 0.000 0.500 0.500 (multiplicity 2)
Sr 0.165 0.500 0.055 (multiplicity 4)
Sr 0.177 0.500 0.724 (multiplicity 4)
Ca 0.176 0.500 0.395 (multiplicity 4)

=====

(14)
# Ga2Ag8Hg

Ga2Ag8Hg after structural relaxation (PBE-GGA, the Alexandria database).

energy of formation	0.003	eV per atom
E_tot	-2.65	eV/atom

a = 15.039 Å, b = 4.163 Å, c = 6.601 Å
α = 90.00°, β = 106.57°, γ = 90.00°
Space group C2/m (No. 12)
Symmetry-distinct sites (fractional):
Ga 0.224 0.000 0.144 (multiplicity 4)
Ag 0.048 0.000 0.226 (multiplicity 4)
Ag 0.095 0.500 0.962 (multiplicity 4)
Ag 0.144 0.000 0.704 (multiplicity 4)
Ag 0.183 0.500 0.419 (multiplicity 4)
Hg 0.000 0.500 0.500 (multiplicity 2)

=====

(15)
# Pm2YTl4

Pm2YTl4 after structural relaxation (PBE-GGA, the Alexandria database).

energy of formation	-0.245	eV per atom
E_tot	-3.88	eV/atom

a = 5.328 Å, b = 5.328 Å, c = 15.134 Å
α = 90.00°, β = 90.00°, γ = 90.00°
Space group I4/mmm (No. 139)
Symmetry-distinct sites (fractional):
Pm 0.000 0.000 0.248 (multiplicity 4)
Y 0.000 0.000 0.500 (multiplicity 2)
Tl 0.000 0.500 0.113 (multiplicity 8)

=====

(16)
# U2Ni21P6

U2Ni21P6 after structural relaxation (PBE-GGA, the Alexandria database).

energy of formation	-0.393	eV per atom
E_tot	-6.48	eV/atom

a = 11.212 Å, b = 11.212 Å, c = 11.212 Å
α = 90.00°, β = 90.00°, γ = 90.00°
Space group Fm-3m (No. 225)
Symmetry-distinct sites (fractional):
U 0.250 0.250 0.250 (multiplicity 8)
Ni 0.000 0.000 0.000 (multiplicity 4)
Ni 0.000 0.174 0.174 (multiplicity 48)
Ni 0.114 0.114 0.386 (multiplicity 32)
P 0.000 0.000 0.259 (multiplicity 24)

=====

(17)
# Na4CeU3Se8

Na4CeU3Se8 after structural relaxation (PBE-GGA, the Alexandria database).

E_tot	-5.85	eV/atom
formation energy (no corrections)	-1289	meV/atom

a = 8.3232 Å, b = 8.3232 Å, c = 21.2479 Å
α = 90.00°, β = 90.00°, γ = 120.00°
Space group R-3m (No. 166, hexagonal axes)
Symmetry-distinct sites (fractional):
Na 0.0000 0.0000 0.0000 (multiplicity 3)
Na 0.0000 0.5000 0.0000 (multiplicity 9)
Ce 0.0000 0.0000 0.5000 (multiplicity 3)
U 0.0000 0.5000 0.5000 (multiplicity 9)
Se 0.0000 0.0000 0.2444 (multiplicity 6)
Se 0.0052 0.5026 0.7546 (multiplicity 18)

=====

(18)
# Sc6Se5S

Sc6Se5S after structural relaxation (PBE-GGA, the Alexandria database).

E_tot	-6.63	eV/atom
formation energy (no corrections)	-1663	meV/atom

a = 6.673 Å, b = 11.564 Å, c = 6.661 Å
α = 90.00°, β = 109.24°, γ = 90.00°
Space group C2/m (No. 12)
Symmetry-distinct sites (fractional):
Sc 0.224 0.000 0.267 (multiplicity 4)
Sc 0.227 0.151 0.729 (multiplicity 8)
Se 0.000 0.173 0.000 (multiplicity 4)
Se 0.000 0.334 0.500 (multiplicity 4)
Se 0.000 0.500 0.000 (multiplicity 2)
S 0.000 0.000 0.500 (multiplicity 2)